Pt2Br, relaxed, DFT PBE; calculated volume = 19.42 Å³/atom; D(E_F) = 0.634 states/eV per atom; energy relative to the lowest polymorph listed for this composition = 0.209 eV per atom; magnetic moment = 0.000 μB per cell; energy = -0.1538 Ha/atom; formation energy from raw total energies = 0.399 eV per atom; symmetry = Pnma (62)
1.0
-5.163 -1.128 1.016
0.129 -3.727 -3.483
2.385 -5.517 5.992
Br Pt
4 8
Direct
0.250 0.565 0.368
0.750 0.935 0.868
0.250 0.065 0.132
0.750 0.435 0.632
0.250 0.950 0.835
0.750 0.550 0.335
0.250 0.450 0.665
0.750 0.050 0.165
0.250 0.987 0.525
0.750 0.513 0.025
0.250 0.487 0.975
0.750 0.013 0.475

PtBr, relaxed, DFT PBE; calculated volume = 25.89 Å³/atom; D(E_F) = 0.520 states/eV per atom; magnetic moment = 0.000 μB per cell; energy = -0.1302 Ha/atom; formation energy from raw total energies = 0.314 eV per atom; symmetry = Cmcm (63)
1.0
-1.045 -7.181 -2.582
4.356 6.243 1.172
1.033 -1.343 3.317
Br Pt
2 2
Direct
0.898 0.102 0.750
0.102 0.898 0.250
0.737 0.263 0.750
0.263 0.737 0.250

Pt2Br, relaxed, DFT PBE; calculated volume = 20.29 Å³/atom; D(E_F) = 1.090 states/eV per atom; energy relative to the lowest polymorph listed for this composition = 0.827 eV per atom; magnetic moment = 0.000 μB per cell; energy = -0.1311 Ha/atom; formation energy from raw total energies = 1.017 eV per atom; symmetry = Pa-3 (205)
1.0
6.244 0.000 0.000
0.000 6.244 0.000
0.000 0.000 6.244
Br Pt
4 8
Direct
0.000 0.000 0.000
0.500 0.500 0.000
0.500 0.000 0.500
0.000 0.500 0.500
0.625 0.625 0.375
0.375 0.375 0.625
0.125 0.875 0.625
0.875 0.125 0.375
0.375 0.125 0.125
0.625 0.875 0.875
0.875 0.375 0.875
0.125 0.625 0.125

PtBr, relaxed, DFT PBE; calculated volume = 24.23 Å³/atom; D(E_F) = 0.352 states/eV per atom; magnetic moment = 0.000 μB per cell; energy = -0.1309 Ha/atom; formation energy from raw total energies = 0.296 eV per atom; symmetry = P2_12_12_1 (19)
1.0
-0.574 0.239 7.487
0.592 -6.562 0.255
7.773 0.723 0.573
Pt Br
8 8
Direct
0.522 0.140 0.937
0.022 0.360 0.063
0.478 0.640 0.563
0.978 0.860 0.437
0.328 0.789 0.830
0.828 0.711 0.170
0.672 0.289 0.670
0.172 0.211 0.330
0.326 0.949 0.152
0.826 0.551 0.848
0.674 0.449 0.348
0.174 0.051 0.652
0.333 0.462 0.980
0.833 0.038 0.020
0.667 0.962 0.520
0.167 0.538 0.480

Pt2Br, relaxed, DFT PBE; calculated volume = 24.39 Å³/atom; D(E_F) = 0.334 states/eV per atom; energy relative to the lowest polymorph listed for this composition = 0.000 eV per atom; magnetic moment = 0.000 μB per cell; energy = -0.1615 Ha/atom; formation energy from raw total energies = 0.190 eV per atom; symmetry = Cmcm (63)
1.0
1.742 -9.068 0.000
1.742 9.068 0.000
0.000 0.000 4.633
Pt Br
4 2
Direct
0.031 0.969 0.750
0.425 0.575 0.750
0.575 0.425 0.250
0.969 0.031 0.250
0.827 0.173 0.750
0.173 0.827 0.250

Pt2Br, relaxed, DFT PBE; calculated volume = 18.17 Å³/atom; D(E_F) = 0.947 states/eV per atom; energy relative to the lowest polymorph listed for this composition = 0.487 eV per atom; magnetic moment = 0.000 μB per cell; energy = -0.1436 Ha/atom; formation energy from raw total energies = 0.677 eV per atom; symmetry = P-62m (189)
1.0
4.058 -7.029 0.000
4.058 7.029 0.000
0.000 0.000 2.867
Pt Br
6 3
Direct
0.378 0.000 0.000
0.000 0.378 0.000
0.622 0.622 0.000
0.699 0.000 0.500
0.000 0.699 0.500
0.301 0.301 0.500
0.333 0.667 0.000
0.667 0.333 0.000
0.000 0.000 0.500